This record from Alexandria describes a relaxed AcDyTh2Bi4 crystal. The functional is GGA-PBE.

Properties
- SG = I-4m2
- raw total energy (eV per cell) = -44.8

The structure in CIF format:
```
data_AcDyTh2Bi4
_chemical_formula_sum 'Ac1 Dy1 Th2 Bi4'
_cell_length_a 6.5682
_cell_length_b 6.5682
_cell_length_c 8.0310
_cell_angle_alpha 114.14
_cell_angle_beta 114.14
_cell_angle_gamma 90.00
_symmetry_space_group_name_H-M 'P 1'
_symmetry_Int_Tables_number 1
_symmetry_space_group_name_Hall 'P 1'
loop_
_atom_site_label
_atom_site_type_symbol
_atom_site_fract_x
_atom_site_fract_y
_atom_site_fract_z
Bi1 Bi 0.2449 0.2449 0.4898
Dy1 Dy 0.7500 0.2500 0.5000
Ac1 Ac 0.5000 0.5000 0.0000
Bi2 Bi 0.5024 0.0024 0.0048
Bi3 Bi 0.7551 0.7551 0.5102
Bi4 Bi 0.9976 0.4976 0.9952
Th1 Th 0.2500 0.7500 0.5000
Th2 Th 0.0000 0.0000 0.0000
```

This record from Alexandria describes a relaxed BiPCl crystal. The functional is GGA-PBE.

Properties
- SG = Cm
- raw formation energy (eV per atom) = -0.3189
- energy above the most stable polymorph in this dataset (meV per atom) = 97.5

The structure in CIF format:
```
data_BiPCl
_chemical_formula_sum 'Bi4 P4 Cl4'
_cell_length_a 8.3076
_cell_length_b 4.0067
_cell_length_c 10.1474
_cell_angle_alpha 90.00
_cell_angle_beta 96.08
_cell_angle_gamma 90.00
_symmetry_space_group_name_H-M 'P 1'
_symmetry_Int_Tables_number 1
_symmetry_space_group_name_Hall 'P 1'
loop_
_atom_site_label
_atom_site_type_symbol
_atom_site_fract_x
_atom_site_fract_y
_atom_site_fract_z
Bi1 Bi 0.4678 0.5000 0.5711
Bi2 Bi 0.4678 0.0000 0.0711
P1 P 0.2165 0.5000 0.8829
Cl1 Cl 0.8980 0.5000 0.5496
P2 P 0.2522 0.0000 0.6015
Bi3 Bi 0.0054 0.5000 0.3064
Cl2 Cl 0.6312 0.0000 0.3022
Cl3 Cl 0.8980 0.0000 0.0496
P3 P 0.2522 0.5000 0.1015
P4 P 0.2165 0.0000 0.3829
Bi4 Bi 0.0054 0.0000 0.8064
Cl4 Cl 0.6312 0.5000 0.8022
```

This record from Alexandria describes a relaxed Pm4Se4Br3 crystal. The functional is GGA-PBE.

Properties
- SG = Immm
- raw formation energy (eV per atom) = -1.6787

The structure in CIF format:
```
data_Pm4Se4Br3
_chemical_formula_sum 'Pm4 Se4 Br3'
_cell_length_a 4.2205
_cell_length_b 8.3469
_cell_length_c 9.8176
_cell_angle_alpha 115.16
_cell_angle_beta 102.41
_cell_angle_gamma 90.00
_symmetry_space_group_name_H-M 'P 1'
_symmetry_Int_Tables_number 1
_symmetry_space_group_name_Hall 'P 1'
loop_
_atom_site_label
_atom_site_type_symbol
_atom_site_fract_x
_atom_site_fract_y
_atom_site_fract_z
Br1 Br 0.0894 0.0894 0.1788
Pm1 Pm 0.2317 0.7317 0.4633
Se1 Se 0.6657 0.8735 0.3313
Pm2 Pm 0.5000 0.2180 0.0000
Br2 Br 0.0000 0.5000 0.0000
Se2 Se 0.6657 0.4578 0.3313
Se3 Se 0.3343 0.1265 0.6687
Br3 Br 0.9106 0.9106 0.8212
Se4 Se 0.3343 0.5422 0.6687
Pm3 Pm 0.5000 0.7820 0.0000
Pm4 Pm 0.7683 0.2683 0.5367
```

This record from Alexandria describes a relaxed CuP3Br crystal. The functional is GGA-PBE.

Properties
- SG = Pm-3m
- raw formation energy (eV per atom) = 0.9974
- energy above the most stable polymorph in this dataset (meV per atom) = 0.0

The structure in CIF format:
```
data_CuP3Br
_chemical_formula_sum 'Cu1 P3 Br1'
_cell_length_a 4.5805
_cell_length_b 4.5805
_cell_length_c 4.5805
_cell_angle_alpha 90.00
_cell_angle_beta 90.00
_cell_angle_gamma 90.00
_symmetry_space_group_name_H-M 'P 1'
_symmetry_Int_Tables_number 1
_symmetry_space_group_name_Hall 'P 1'
loop_
_atom_site_label
_atom_site_type_symbol
_atom_site_fract_x
_atom_site_fract_y
_atom_site_fract_z
P1 P 0.0000 0.0000 0.5000
P2 P 0.0000 0.5000 0.0000
Br1 Br 0.5000 0.5000 0.5000
Cu1 Cu 0.0000 0.0000 0.0000
P3 P 0.5000 0.0000 0.0000
```